Here is CoRh3O6 after structural relaxation from Alexandria. Energies are from GGA+U.

```
CoRh3O6
1.0
5.210 0.000 0.000
2.605 4.512 0.000
2.605 1.504 4.608
Co Rh O
1 3 6
direct
0.857 0.857 0.430
0.345 0.345 0.964
0.149 0.149 0.553
0.655 0.655 0.035
0.944 0.552 0.251
0.747 0.058 0.755
0.440 0.747 0.755
0.552 0.254 0.251
0.058 0.440 0.755
0.254 0.944 0.251
```

Output
The mass density comes out at 7.11 g/cm3. The space group is R3. For the raw total energy, the calculation gives -64.427 eV/f.u. Its volume is 108.34 Å³ per cell.